A plane-wave DFT calculation with GGA-PBE was carried out for a relaxed SbTe2CBr crystal.

**ΔE_f (raw)**: 0.9770 eV/atom
**Space-group type**: No. 123
**Density of states at the Fermi level**: 0.716 states/eV/atom
**DFT total energy**: -3.28 eV per atom

Cell lengths 4.784, 4.784, 5.216 Å; angles 90.00, 90.00, 90.00 degrees
Fractional coordinates of all 5 atoms:
Sb 0.000 0.000 0.000
Te 0.000 0.500 0.500
Te 0.500 0.000 0.500
C 0.000 0.000 0.500
Br 0.500 0.500 0.000